Model w:
A relaxed Ba2Sr3Nb10O30 crystal. Source: Alexandria via LeMat-Bulk, functional PBE.

Unit cell a=4.0133 b=12.8393 c=12.8529 alpha=88.69 beta=89.87 gamma=89.68
Space group P1 (No. 1)
One atom of each set of equivalent atoms:
Ba (0.0000, 0.0000, 0.0000) x1
Ba (0.0035, 0.8337, 0.5320) x1
Sr (0.0024, 0.6554, 0.1925) x1
Sr (0.0052, 0.5128, 0.9051) x1
Sr (0.9991, 0.1547, 0.6869) x1
Nb (0.5039, 0.7286, 0.9768) x1
Nb (0.5055, 0.2398, 0.8954) x1
Nb (0.5052, 0.9392, 0.7565) x1
Nb (0.5060, 0.0833, 0.4708) x1
Nb (0.5062, 0.8669, 0.2651) x1
Nb (0.5096, 0.4416, 0.1236) x1
Nb (0.5112, 0.3663, 0.6053) x1
Nb (0.5190, 0.5803, 0.4045) x1
Nb (0.5241, 0.1498, 0.1803) x1
Nb (0.5278, 0.6445, 0.6930) x1
O (0.4764, 0.9963, 0.6140) x1
O (0.4767, 0.5755, 0.0383) x1
O (0.4780, 0.1363, 0.3322) x1
O (0.4778, 0.2987, 0.1730) x1
O (0.4798, 0.0722, 0.8206) x1
O (0.4799, 0.9848, 0.1685) x1
O (0.4805, 0.2718, 0.7457) x1
O (0.4809, 0.4856, 0.6893) x1
O (0.4818, 0.1431, 0.0202) x1
O (0.4821, 0.2068, 0.5465) x1
O (0.4815, 0.7133, 0.3139) x1
O (0.4821, 0.8626, 0.9034) x1
O (0.4829, 0.4429, 0.4755) x1
O (0.4835, 0.7961, 0.6838) x1
O (0.4854, 0.7777, 0.1142) x1
O (0.4877, 0.9229, 0.4011) x1
O (0.4901, 0.6341, 0.8428) x1
O (0.4896, 0.6591, 0.5276) x1
O (0.4910, 0.5129, 0.2482) x1
O (0.4916, 0.3747, 0.9514) x1
O (0.9801, 0.3426, 0.6089) x1
O (0.9811, 0.0608, 0.4848) x1
O (0.9837, 0.1358, 0.1707) x1
O (0.9844, 0.2180, 0.8861) x1
O (0.9844, 0.8492, 0.2559) x1
O (0.9844, 0.9364, 0.7579) x1
O (0.9861, 0.7113, 0.9759) x1
O (0.9869, 0.4472, 0.0999) x1
O (0.9874, 0.5806, 0.3844) x1
O (0.9923, 0.6416, 0.6844) x1

Results
For the volume, the calculation gives 662.10 Å³ per cell.

=====

Model x:
A relaxed Ba2Sr3Nb10O30 crystal. Source: Alexandria via LeMat-Bulk, functional PBE.

Unit cell a=12.6687 b=4.0684 c=12.7242 alpha=90.00 beta=90.98 gamma=90.00
Space group P2 (No. 3)
One atom of each set of equivalent atoms:
Ba (0.1498, 0.0000, 0.3087) x2
Sr (0.0000, 0.9967, 0.0000) x1
Sr (0.3654, 0.0100, 0.7882) x2
Nb (0.0000, 0.5136, 0.5000) x1
Nb (0.0862, 0.5057, 0.7897) x2
Nb (0.2135, 0.5051, 0.0763) x2
Nb (0.2942, 0.5139, 0.5668) x2
Nb (0.4263, 0.5193, 0.2938) x2
Nb (0.5000, 0.5197, 0.0000) x1
O (0.0000, 0.9694, 0.5000) x1
O (0.0011, 0.4665, 0.6563) x2
O (0.0724, 0.9695, 0.7987) x2
O (0.0741, 0.4589, 0.1501) x2
O (0.1247, 0.4673, 0.9411) x2
O (0.1567, 0.4558, 0.4920) x2
O (0.2018, 0.9681, 0.0803) x2
O (0.2235, 0.4730, 0.7294) x2
O (0.2851, 0.4708, 0.2199) x2
O (0.2891, 0.9675, 0.5873) x2
O (0.3416, 0.4597, 0.9943) x2
O (0.3613, 0.4806, 0.4332) x2
O (0.4248, 0.4591, 0.6525) x2
O (0.4310, 0.9749, 0.2894) x2
O (0.4940, 0.4736, 0.8436) x2
O (0.5000, 0.9742, 0.0000) x1

Results
For the volume, the calculation gives 655.73 Å³ per cell.

=====

Least stable structure: model x